P.
DFT (PBE) results for crystalline Tm8Cu2Rh at its relaxed geometry.

Lattice parameters (Å, degrees): 5.747 7.707 7.707 117.02 101.05 101.05
Atoms (fractional coordinates):
Tm: 0.594 0.343 0.095
Tm: 0.594 0.095 0.343
Tm: 0.181 0.366 0.366
Tm: 0.989 0.206 0.800
Tm: 0.989 0.800 0.206
Tm: 0.800 0.640 0.640
Tm: 0.369 0.909 0.660
Tm: 0.369 0.660 0.909
Cu: 0.494 0.705 0.307
Cu: 0.494 0.307 0.705
Rh: 0.127 0.003 0.003

Output
Crystal system   monoclinic
SG   Cm (8)
N(E_F)   13.01 states/eV per cell

---

Q.
DFT (PBE) results for crystalline Tm8Cu2Rh at its relaxed geometry.

Lattice parameters (Å, degrees): 5.025 6.581 8.856 106.24 106.48 90.00
Atoms (fractional coordinates):
Tm: 0.409 0.557 0.818
Tm: 0.667 0.977 0.334
Tm: 0.800 0.678 0.601
Tm: 0.968 0.211 0.936
Tm: 0.200 0.322 0.399
Tm: 0.333 0.023 0.666
Tm: 0.591 0.443 0.182
Tm: 0.032 0.789 0.064
Cu: 0.815 0.279 0.631
Cu: 0.185 0.721 0.369
Rh: 0.500 0.000 0.000

Output
Crystal system   monoclinic
SG   C2/m (12)
N(E_F)   8.59 states/eV per cell

---

Looking at the structures above, Q is most stable, and the difference to the next one is 0.116 eV/atom.